Record 1
The following is a DFT calculation (PBE) of a relaxed NaLi2CoTc crystal.

abc: 4.543 4.928 4.543
angles: 90.00 90.00 90.00
Site moments in Bohr magnetons follow the coordinates.
Sites, in units of the cell vectors:
Na (0.000, 0.500, 0.000)  -0.01
Co (0.000, 0.000, 0.000)  1.60
Tc (0.500, 0.500, 0.500)  3.26
Li (0.000, 0.000, 0.500)  -0.04
Li (0.500, 0.000, 0.000)  -0.06

Properties
Formation energy from the elements in meV/atom: 1383.8
Total energy in eV per atom: -3.140
Calculated density in g/cm3: 3.2
M_tot in μB/f.u.: 4.92
DOS(E_F) in states/eV/atom: 0.845
Calculated volume in Å³/atom: 20.3

Record 2
The following is a DFT calculation (PBE) of a relaxed AcNbInO6 crystal.

abc: 5.556 5.556 10.576
angles: 90.00 90.00 120.00
Site moments in Bohr magnetons follow the coordinates.
Sites, in units of the cell vectors:
Ac (0.000, 0.000, 0.000)  0.01
Ac (0.000, 0.000, 0.500)  0.01
Nb (0.333, 0.667, 0.250)  -0.07
Nb (0.667, 0.333, 0.750)  -0.07
In (0.667, 0.333, 0.250)  0.01
In (0.333, 0.667, 0.750)  0.01
O (0.620, 0.641, 0.142)  0.16
O (0.021, 0.380, 0.142)  0.16
O (0.380, 0.021, 0.642)  0.16
O (0.979, 0.620, 0.858)  0.16
O (0.359, 0.380, 0.358)  0.16
O (0.021, 0.641, 0.358)  0.16
O (0.641, 0.021, 0.858)  0.16
O (0.620, 0.979, 0.358)  0.16
O (0.979, 0.359, 0.642)  0.16
O (0.359, 0.979, 0.142)  0.16
O (0.641, 0.620, 0.642)  0.16
O (0.380, 0.359, 0.858)  0.16

Properties
Total energy in eV per atom: -7.478
Calculated density in g/cm3: 6.2
M_tot in μB/f.u.: 1.09
Energy relative to the elements, uncorrected in kcal/mol of atoms: -52.88
DOS(E_F) in states/eV/atom: 0.787
Calculated volume in Å³/atom: 15.7

- Which formula does entry 2 have?
  AcNbInO6

Copy entry 2 word for word.
The following is a DFT calculation (PBE) of a relaxed AcNbInO6 crystal.

abc: 5.556 5.556 10.576
angles: 90.00 90.00 120.00
Site moments in Bohr magnetons follow the coordinates.
Sites, in units of the cell vectors:
Ac (0.000, 0.000, 0.000)  0.01
Ac (0.000, 0.000, 0.500)  0.01
Nb (0.333, 0.667, 0.250)  -0.07
Nb (0.667, 0.333, 0.750)  -0.07
In (0.667, 0.333, 0.250)  0.01
In (0.333, 0.667, 0.750)  0.01
O (0.620, 0.641, 0.142)  0.16
O (0.021, 0.380, 0.142)  0.16
O (0.380, 0.021, 0.642)  0.16
O (0.979, 0.620, 0.858)  0.16
O (0.359, 0.380, 0.358)  0.16
O (0.021, 0.641, 0.358)  0.16
O (0.641, 0.021, 0.858)  0.16
O (0.620, 0.979, 0.358)  0.16
O (0.979, 0.359, 0.642)  0.16
O (0.359, 0.979, 0.142)  0.16
O (0.641, 0.620, 0.642)  0.16
O (0.380, 0.359, 0.858)  0.16

Properties
Total energy in eV per atom: -7.478
Calculated density in g/cm3: 6.2
M_tot in μB/f.u.: 1.09
Energy relative to the elements, uncorrected in kcal/mol of atoms: -52.88
DOS(E_F) in states/eV/atom: 0.787
Calculated volume in Å³/atom: 15.7

- The highest calculated volume belongs to which entry?
  NaLi2CoTc